VASP calculation (meta-GGA SCAN) on a crystal of CuHgBr relaxed with PBEsol.

Unit cell a=4.671 b=4.671 c=4.671 alpha=60.00 beta=60.00 gamma=60.00
Positions (direct):
Cu 0.000 0.000 0.000
Hg 0.250 0.250 0.250
Br 0.500 0.500 0.500

Computed properties:
D(E_F) ... 0.60 states/eV per cell
Electronic total energy ... -33.7299 eV per atom
Energy above the lowest structure with this stoichiometry ... 546.9 meV per atom
Energy relative to the elements, uncorrected ... 157.8 kJ/mol of formula units